# 1
First-principles (PBE) data for an optimized crystal structure of VCrAg2N, as listed in the Alexandria database.

a b c (Å): 5.057 3.522 5.057
angles (deg): 90.00 90.00 90.00
Each line ends with the local moment (μB).
Element x y z (fractional)
Cr (0.000, 0.000, 0.000)  2.44
N (0.000, 0.500, 0.000)  -0.30
Ag (0.000, 0.000, 0.500)  0.06
Ag (0.500, 0.000, 0.000)  0.06
V (0.500, 0.500, 0.500)  -0.32

=====

# 2
First-principles (PBE) data for an optimized crystal structure of CrAgWN2, as listed in the Alexandria database.

a b c (Å): 3.969 4.894 3.969
angles (deg): 90.00 90.00 90.00
Each line ends with the local moment (μB).
Element x y z (fractional)
Cr (0.000, 0.500, 0.000)  3.25
Ag (0.000, 0.000, 0.000)  0.09
W (0.500, 0.500, 0.500)  -1.82
N (0.000, 0.000, 0.500)  0.48
N (0.500, 0.000, 0.000)  0.61

=====

| no. | size of the total moment (μB per formula unit) | formation energy without anion corrections (kJ/mol of atoms) |
| --- | --- | --- |
| 1 | 2.0 | 98.8 |
| 2 | 2.8 | 252.2 |